This record from the Alexandria database describes a relaxed K2CaP2 crystal. The functional is PBE.

a b c (Å): 7.3362 7.3362 5.3488
angles (deg): 90.00 90.00 90.00
Last column: nearest neighbours and their distance in Å.
Fractional coordinates of all 10 atoms:
K1 0.1647 0.3353 0.0000  6 P 3.37-3.55, 1 K 3.42
K2 0.3353 0.8353 0.0000  6 P 3.37-3.55, 1 K 3.42
K3 0.6647 0.1647 0.0000  6 P 3.37-3.55, 1 K 3.42
K4 0.8353 0.6647 0.0000  6 P 3.37-3.55, 1 K 3.42
Ca1 0.0000 0.0000 0.5000  4 P 2.97
Ca2 0.5000 0.5000 0.5000  4 P 2.97
P1 0.1097 0.6097 0.5000  1 P 2.28
P2 0.3903 0.1097 0.5000  1 P 2.28
P3 0.6097 0.8903 0.5000  1 P 2.28
P4 0.8903 0.3903 0.5000  1 P 2.28

Calculated values
- Fermi-level density of states: 2.3 states/eV/cell
- Energy of formation from the pure elements: -42.8 kJ per mole of atoms
- SG: P4/mbm